Record 1
A plane-wave DFT calculation with PBE was carried out for an optimized crystal structure of CsMo2Cl8.

Lattice parameters (Å, degrees): 4.9870 7.9653 9.6328 108.93 104.41 90.47
With the nearest neighbours (Å) after each atom.
Positions (direct):
Cs 0.0000 0.0000 0.0000  6 Cl 3.53-3.65
Mo 0.3067 0.3996 0.6200  5 Cl 2.29-2.54
Mo 0.6933 0.6004 0.3800  5 Cl 2.29-2.54
Cl 0.2046 0.1341 0.4146  1 Mo 2.33
Cl 0.2086 0.5648 0.4128  3 Mo 2.54-2.68
Cl 0.3920 0.2632 0.8002  1 Mo 2.29
Cl 0.4000 0.6922 0.8049  1 Mo 2.39
Cl 0.6000 0.3078 0.1951  1 Mo 2.39
Cl 0.6080 0.7368 0.1998  1 Mo 2.29
Cl 0.7914 0.4352 0.5872  3 Mo 2.54-2.68
Cl 0.7954 0.8659 0.5854  1 Mo 2.33

Computed properties:
Size of the total moment, μB per formula unit: 5.00
Crystal system: triclinic
ΔE_f (raw), eV/f.u.: -10.452
Space-group type: No. 2

***

Record 2
A plane-wave DFT calculation with PBE was carried out for an optimized crystal structure of Nd3Tl2Zn.

Lattice parameters (Å, degrees): 8.6906 8.6906 6.6394 103.20 103.20 44.48
With the nearest neighbours (Å) after each atom.
Positions (direct):
Nd 0.1467 0.8533 0.7500  2 Zn 3.22-3.36, 4 Tl 3.24-3.32, 2 Nd 3.44
Nd 0.2284 0.4419 0.4086  2 Zn 3.09-3.43, 4 Tl 3.22-3.45, 1 Nd 3.44
Nd 0.4419 0.2284 0.9086  2 Zn 3.09-3.43, 4 Tl 3.22-3.45, 1 Nd 3.44
Nd 0.5581 0.7716 0.0914  2 Zn 3.09-3.43, 4 Tl 3.22-3.45, 1 Nd 3.44
Nd 0.7716 0.5581 0.5914  2 Zn 3.09-3.43, 4 Tl 3.22-3.45, 1 Nd 3.44
Nd 0.8533 0.1467 0.2500  2 Zn 3.22-3.36, 4 Tl 3.24-3.32, 2 Nd 3.44
Tl 0.0463 0.2772 0.0413  7 Nd 3.22-3.51, 1 Zn 3.27, 1 Tl 3.50
Tl 0.2772 0.0463 0.5413  7 Nd 3.22-3.51, 1 Zn 3.27, 1 Tl 3.50
Tl 0.7228 0.9537 0.4587  7 Nd 3.22-3.51, 1 Zn 3.27, 1 Tl 3.50
Tl 0.9537 0.7228 0.9587  7 Nd 3.22-3.51, 1 Zn 3.27, 1 Tl 3.50
Zn 0.3643 0.6357 0.2500  6 Nd 3.09-3.43, 2 Tl 3.27
Zn 0.6357 0.3643 0.7500  6 Nd 3.09-3.43, 2 Tl 3.27

Computed properties:
Formation enthalpy at 0 K, eV/atom: -0.28
Size of the total moment, μB per formula unit: 0.00
Crystal system: monoclinic
Space-group type: No. 15

***

Record 3
A plane-wave DFT calculation with PBE was carried out for an optimized crystal structure of BaAl4Se7.

Lattice parameters (Å, degrees): 15.7474 6.6195 6.3080 90.00 90.00 90.00
With the nearest neighbours (Å) after each atom.
Positions (direct):
Ba 0.0000 0.1391 0.0000  6 Se 3.47-3.81
Ba 0.5000 0.8609 0.5000  6 Se 3.47-3.81
Al 0.1203 0.6675 0.6499  4 Se 2.40-2.47
Al 0.2482 0.1814 0.6312  4 Se 2.37-2.48
Al 0.2518 0.8186 0.1312  4 Se 2.37-2.48
Al 0.3797 0.3325 0.1499  4 Se 2.40-2.47
Al 0.6203 0.3325 0.1499  4 Se 2.40-2.47
Al 0.7482 0.8186 0.1312  4 Se 2.37-2.48
Al 0.7518 0.1814 0.6312  4 Se 2.37-2.48
Al 0.8797 0.6675 0.6499  4 Se 2.40-2.47
Se 0.0000 0.8561 0.5260  2 Al 2.40
Se 0.1140 0.3212 0.5408  2 Al 2.38-2.40
Se 0.1164 0.6946 0.0291  2 Al 2.37-2.40
Se 0.2472 0.1748 0.0236  3 Al 2.45-2.48
Se 0.2528 0.8252 0.5236  3 Al 2.45-2.48
Se 0.3836 0.3054 0.5291  2 Al 2.37-2.40
Se 0.3860 0.6788 0.0408  2 Al 2.38-2.40
Se 0.5000 0.1439 0.0260  2 Al 2.40
Se 0.6140 0.6788 0.0408  2 Al 2.38-2.40
Se 0.6164 0.3054 0.5291  2 Al 2.37-2.40
Se 0.7472 0.8252 0.5236  3 Al 2.45-2.48
Se 0.7528 0.1748 0.0236  3 Al 2.45-2.48
Se 0.8836 0.6946 0.0291  2 Al 2.37-2.40
Se 0.8860 0.3212 0.5408  2 Al 2.38-2.40

Computed properties:
Size of the total moment, μB per formula unit: 0.00
Crystal system: orthorhombic
ΔE_f (raw), eV/f.u.: -13.204
Space-group type: No. 31

***

Record 4
A plane-wave DFT calculation with PBE was carried out for an optimized crystal structure of TaTiNbNi.

Lattice parameters (Å, degrees): 6.3330 6.3330 6.3330 90.00 90.00 90.00
With the nearest neighbours (Å) after each atom.
Positions (direct):
Ta 0.0000 0.0000 0.0000  4 Ni 2.74, 4 Nb 2.74
Ta 0.0000 0.5000 0.5000  4 Nb 2.74, 4 Ni 2.74
Ta 0.5000 0.0000 0.5000  4 Nb 2.74, 4 Ni 2.74
Ta 0.5000 0.5000 0.0000  4 Nb 2.74, 4 Ni 2.74
Ti 0.0000 0.0000 0.5000  4 Nb 2.74, 4 Ni 2.74
Ti 0.0000 0.5000 0.0000  4 Nb 2.74, 4 Ni 2.74
Ti 0.5000 0.0000 0.0000  4 Nb 2.74, 4 Ni 2.74
Ti 0.5000 0.5000 0.5000  4 Nb 2.74, 4 Ni 2.74
Nb 0.2500 0.2500 0.2500  4 Ta 2.74, 4 Ti 2.74
Nb 0.2500 0.7500 0.7500  4 Ta 2.74, 4 Ti 2.74
Nb 0.7500 0.2500 0.7500  4 Ta 2.74, 4 Ti 2.74
Nb 0.7500 0.7500 0.2500  4 Ta 2.74, 4 Ti 2.74
Ni 0.2500 0.2500 0.7500  4 Ta 2.74, 4 Ti 2.74
Ni 0.2500 0.7500 0.2500  4 Ta 2.74, 4 Ti 2.74
Ni 0.7500 0.2500 0.2500  4 Ta 2.74, 4 Ti 2.74
Ni 0.7500 0.7500 0.7500  4 Ta 2.74, 4 Ti 2.74

Computed properties:
Formation enthalpy at 0 K, eV/atom: -0.08
Size of the total moment, μB per formula unit: 0.00
Crystal system: cubic
Space-group type: No. 216

***

Record 5
A plane-wave DFT calculation with PBE was carried out for an optimized crystal structure of Th6SiGe3As2.

Lattice parameters (Å, degrees): 9.5787 9.5787 8.5611 102.80 102.80 25.88
With the nearest neighbours (Å) after each atom.
Positions (direct):
Th 0.0007 0.0007 0.2527  2 Si 3.02, 3 Ge 3.04, 1 As 3.05
Th 0.3345 0.3345 0.4192  1 Si 3.01, 3 Ge 3.03, 2 As 3.05
Th 0.3342 0.3342 0.9149  3 Ge 3.01, 3 As 3.04
Th 0.6658 0.6658 0.0851  3 Ge 3.01, 3 As 3.04
Th 0.6655 0.6655 0.5808  1 Si 3.01, 3 Ge 3.03, 2 As 3.05
Th 0.9993 0.9993 0.7473  2 Si 3.02, 3 Ge 3.04, 1 As 3.05
Si 0.5000 0.5000 0.5000  6 Th 3.01-3.02
Ge 0.1678 0.1678 0.3329  6 Th 3.01-3.04
Ge 0.5000 0.5000 0.0000  6 Th 3.01-3.04
Ge 0.8322 0.8322 0.6671  6 Th 3.01-3.04
As 0.1670 0.1670 0.8343  6 Th 3.04-3.05
As 0.8330 0.8330 0.1657  6 Th 3.04-3.05

Computed properties:
Size of the total moment, μB per formula unit: 0.00
Crystal system: monoclinic
ΔE_f (raw), eV/f.u.: -11.646
Space-group type: No. 12

***

Record 6
A plane-wave DFT calculation with PBE was carried out for an optimized crystal structure of CsBaNF2.

Lattice parameters (Å, degrees): 5.1242 5.1242 5.4462 90.00 90.00 90.00
With the nearest neighbours (Å) after each atom.
Positions (direct):
Cs 0.0000 0.0000 0.0000  4 N 3.62, 8 F 3.74
Ba 0.5000 0.5000 0.5000  4 F 2.56, 2 N 2.72
N 0.5000 0.5000 0.0000  2 Ba 2.72
F 0.0000 0.5000 0.5000  2 Ba 2.56
F 0.5000 0.0000 0.5000  2 Ba 2.56

Computed properties:
Size of the total moment, μB per formula unit: 2.00
Crystal system: tetragonal
ΔE_f (raw), eV/f.u.: -8.323
Space-group type: No. 123

***

Record 7
A plane-wave DFT calculation with PBE was carried out for an optimized crystal structure of CaCrMo2.

Lattice parameters (Å, degrees): 5.4605 9.6283 2.6870 90.00 105.02 90.00
With the nearest neighbours (Å) after each atom.
Positions (direct):
Ca 0.0000 0.0000 0.0000  2 Ca 2.69, 2 Cr 2.73, 4 Mo 2.92
Ca 0.5000 0.5000 0.0000  2 Ca 2.69, 2 Cr 2.73, 4 Mo 2.92
Cr 0.0000 0.5000 0.0000  2 Cr 2.69, 2 Ca 2.73, 4 Mo 2.92
Cr 0.5000 0.0000 0.0000  2 Cr 2.69, 2 Ca 2.73, 4 Mo 2.92
Mo 0.2500 0.2500 0.5000  4 Mo 2.69-2.73, 2 Cr 2.92, 2 Ca 2.92
Mo 0.2500 0.7500 0.5000  4 Mo 2.69-2.73, 2 Cr 2.92, 2 Ca 2.92
Mo 0.7500 0.2500 0.5000  4 Mo 2.69-2.73, 2 Cr 2.92, 2 Ca 2.92
Mo 0.7500 0.7500 0.5000  4 Mo 2.69-2.73, 2 Cr 2.92, 2 Ca 2.92

Computed properties:
Formation enthalpy at 0 K, eV/atom: 0.79
Size of the total moment, μB per formula unit: 1.53
Crystal system: monoclinic
Space-group type: No. 12

***

Record 8
A plane-wave DFT calculation with PBE was carried out for an optimized crystal structure of KBa2Sr.

Lattice parameters (Å, degrees): 4.3200 7.1236 8.3029 90.00 99.14 90.00
With the nearest neighbours (Å) after each atom.
Positions (direct):
K 0.0000 0.0000 0.0000  2 K 4.32, 4 Ba 4.35, 2 Sr 4.36
Ba 0.2349 0.5000 0.7428  4 Ba 4.22-4.51, 2 Sr 4.34, 2 K 4.35
Ba 0.7651 0.5000 0.2572  4 Ba 4.22-4.51, 2 Sr 4.34, 2 K 4.35
Sr 0.5000 0.0000 0.5000  2 Sr 4.32, 4 Ba 4.34, 2 K 4.36

Computed properties:
Formation enthalpy at 0 K, eV/atom: 0.08
Size of the total moment, μB per formula unit: 0.00
Crystal system: monoclinic
Space-group type: No. 10

***

Record 9
A plane-wave DFT calculation with PBE was carried out for an optimized crystal structure of K6NaCl8.

Lattice parameters (Å, degrees): 9.2358 9.2358 6.4868 90.00 90.00 120.00
With the nearest neighbours (Å) after each atom.
Positions (direct):
K 0.0000 0.3707 0.2788  7 Cl 3.13-3.44
K 0.0000 0.6293 0.7212  7 Cl 3.13-3.44
K 0.3707 0.0000 0.2788  7 Cl 3.13-3.44
K 0.3707 0.3707 0.7212  7 Cl 3.13-3.44
K 0.6293 0.0000 0.7212  7 Cl 3.13-3.44
K 0.6293 0.6293 0.2788  7 Cl 3.13-3.44
Na 0.0000 0.0000 0.0000  6 Cl 2.92
Cl 0.0000 0.2809 0.7927  1 Na 2.92, 4 K 3.13-3.26
Cl 0.0000 0.7191 0.2073  1 Na 2.92, 4 K 3.13-3.26
Cl 0.2809 0.0000 0.7927  1 Na 2.92, 4 K 3.13-3.26
Cl 0.2809 0.2809 0.2073  1 Na 2.92, 4 K 3.13-3.26
Cl 0.3333 0.6667 0.5000  6 K 3.25
Cl 0.6667 0.3333 0.5000  6 K 3.25
Cl 0.7191 0.0000 0.2073  1 Na 2.92, 4 K 3.13-3.26
Cl 0.7191 0.7191 0.7927  1 Na 2.92, 4 K 3.13-3.26

Computed properties:
Size of the total moment, μB per formula unit: 1.21
Crystal system: trigonal
ΔE_f (raw), eV/f.u.: -25.638
Space-group type: No. 162

***

Record 10
A plane-wave DFT calculation with PBE was carried out for an optimized crystal structure of SmH2Cl4.

Lattice parameters (Å, degrees): 5.5623 14.4595 3.7444 90.00 90.00 90.00
With the nearest neighbours (Å) after each atom.
Positions (direct):
Sm 0.0000 0.0000 0.0000  4 Cl 2.67
Sm 0.5000 0.5000 0.0000  4 Cl 2.67
H 0.0000 0.3947 0.5000  2 Cl 1.87
H 0.0000 0.6053 0.5000  2 Cl 1.87
H 0.5000 0.1053 0.5000  2 Cl 1.87
H 0.5000 0.8947 0.5000  2 Cl 1.87
Cl 0.0000 0.1314 0.5000  2 Sm 2.67, 2 H 2.81
Cl 0.0000 0.3925 0.0000  2 H 1.87
Cl 0.0000 0.6075 0.0000  2 H 1.87
Cl 0.0000 0.8686 0.5000  2 Sm 2.67, 2 H 2.81
Cl 0.5000 0.1075 0.0000  2 H 1.87
Cl 0.5000 0.3686 0.5000  2 Sm 2.67, 2 H 2.81
Cl 0.5000 0.6314 0.5000  2 Sm 2.67, 2 H 2.81
Cl 0.5000 0.8925 0.0000  2 H 1.87

Computed properties:
Size of the total moment, μB per formula unit: 0.00
Crystal system: orthorhombic
Total DFT energy (no corrections), eV for the cell shown: -49.942
Space-group type: No. 65

***

Record 11
A plane-wave DFT calculation with PBE was carried out for an optimized crystal structure of AcRhPb2.

Lattice parameters (Å, degrees): 4.5503 4.5503 5.2794 90.00 90.00 90.00
With the nearest neighbours (Å) after each atom.
Positions (direct):
Ac 0.0000 0.0000 0.0000  4 Rh 3.22, 8 Pb 3.48
Rh 0.5000 0.5000 0.0000  4 Ac 3.22, 8 Pb 3.48
Pb 0.0000 0.5000 0.5000  4 Pb 3.22, 4 Ac 3.48, 4 Rh 3.48
Pb 0.5000 0.0000 0.5000  4 Pb 3.22, 4 Ac 3.48, 4 Rh 3.48

Computed properties:
Formation enthalpy at 0 K, eV/atom: -0.21
Size of the total moment, μB per formula unit: 0.00
Crystal system: tetragonal
Space-group type: No. 123

***

Record 12
A plane-wave DFT calculation with PBE was carried out for an optimized crystal structure of PaGaNi5As2.

Lattice parameters (Å, degrees): 3.7518 3.7518 9.0914 90.00 90.00 90.00
With the nearest neighbours (Å) after each atom.
Positions (direct):
Pa 0.0000 0.0000 0.0000  8 As 3.02
Ga 0.0000 0.0000 0.5000  12 Ni 2.52-2.65
Ni 0.0000 0.5000 0.3142  2 As 2.35, 2 Ni 2.52, 2 Ga 2.52
Ni 0.0000 0.5000 0.6858  2 As 2.35, 2 Ni 2.52, 2 Ga 2.52
Ni 0.5000 0.0000 0.3142  2 As 2.35, 2 Ni 2.52, 2 Ga 2.52
Ni 0.5000 0.0000 0.6858  2 As 2.35, 2 Ni 2.52, 2 Ga 2.52
Ni 0.5000 0.5000 0.5000  8 Ni 2.52, 4 Ga 2.65
As 0.5000 0.5000 0.1582  4 Ni 2.35
As 0.5000 0.5000 0.8418  4 Ni 2.35

Computed properties:
Formation enthalpy at 0 K, eV/atom: -0.47
Size of the total moment, μB per formula unit: 0.00
Crystal system: tetragonal
Space-group type: No. 123